Record 1
Density functional theory data (PBE) for an optimized crystal structure of NpGe2Ru.

Calculated volume   18.598 A^3/atom
Crystal system   trigonal
Calculated total energy   -8.082 eV per atom
M_tot   0.8475 μB per atom

```
data_NpGe2Ru
_chemical_formula_sum 'Np1 Ge2 Ru1'
_symmetry_space_group_name_H-M 'P 1'
_symmetry_Int_Tables_number 1
_symmetry_space_group_name_Hall 'P 1'
_cell_length_a 4.2208
_cell_length_b 4.2208
_cell_length_c 5.4025
_cell_angle_alpha 67.01
_cell_angle_beta 67.01
_cell_angle_gamma 60.00
loop_
_atom_site_label
_atom_site_fract_x
_atom_site_fract_y
_atom_site_fract_z
Np1 0.0000 0.0000 0.0000
Ru1 0.5000 0.5000 0.5000
Ge1 0.7777 0.7777 0.6670
Ge2 0.2223 0.2223 0.3330
```

=====

Record 2
Density functional theory data (PBE) for an optimized crystal structure of InGaSb3.

Calculated volume   31.259 A^3/atom
Crystal system   cubic
Formation energy from raw total energies   0.459 eV/atom
M_tot   0.0000 μB per atom

```
data_InGaSb3
_chemical_formula_sum 'In1 Ga1 Sb3'
_symmetry_space_group_name_H-M 'P 1'
_symmetry_Int_Tables_number 1
_symmetry_space_group_name_Hall 'P 1'
_cell_length_a 5.3866
_cell_length_b 5.3866
_cell_length_c 5.3866
_cell_angle_alpha 90.00
_cell_angle_beta 90.00
_cell_angle_gamma 90.00
loop_
_atom_site_label
_atom_site_fract_x
_atom_site_fract_y
_atom_site_fract_z
Sb1 0.0000 0.5000 0.0000
Sb2 0.0000 0.0000 0.5000
Sb3 0.5000 0.0000 0.0000
Ga1 0.0000 0.0000 0.0000
In1 0.5000 0.5000 0.5000
```

=====

Record 3
Density functional theory data (PBE) for an optimized crystal structure of CsTaW2.

Calculated volume   19.840 A^3/atom
Crystal system   cubic
Calculated total energy   -7.618 eV per atom
M_tot   0.0000 μB per atom

```
data_CsTaW2
_chemical_formula_sum 'Cs1 Ta1 W2'
_symmetry_space_group_name_H-M 'P 1'
_symmetry_Int_Tables_number 1
_symmetry_space_group_name_Hall 'P 1'
_cell_length_a 4.8236
_cell_length_b 4.8236
_cell_length_c 4.8236
_cell_angle_alpha 60.00
_cell_angle_beta 60.00
_cell_angle_gamma 60.00
loop_
_atom_site_label
_atom_site_fract_x
_atom_site_fract_y
_atom_site_fract_z
Cs1 0.0000 0.0000 0.0000
W1 0.2500 0.2500 0.2500
W2 0.7500 0.7500 0.7500
Ta1 0.5000 0.5000 0.5000
```

=====

Record 4
Density functional theory data (PBE) for an optimized crystal structure of BeReRh.

Calculated volume   12.216 A^3/atom
Crystal system   monoclinic
Calculated total energy   -8.058 eV per atom
M_tot   0.0000 μB per atom

```
data_BeReRh
_chemical_formula_sum 'Be2 Re2 Rh2'
_symmetry_space_group_name_H-M 'P 1'
_symmetry_Int_Tables_number 1
_symmetry_space_group_name_Hall 'P 1'
_cell_length_a 2.8021
_cell_length_b 5.4798
_cell_length_c 5.2424
_cell_angle_alpha 105.40
_cell_angle_beta 105.50
_cell_angle_gamma 75.21
loop_
_atom_site_label
_atom_site_fract_x
_atom_site_fract_y
_atom_site_fract_z
Be1 0.8303 0.0390 0.0964
Be2 0.5938 0.4224 0.0058
Rh1 0.5556 0.8064 0.3159
Rh2 0.8684 0.6551 0.7863
Re1 0.3182 0.3518 0.3845
Re2 0.1057 0.1097 0.7177
```